Entry 1:
! AlCd2Ag GGA-PBEsol relaxed; values from VASP
&SYSTEM
  ibrav = 0, nat = 4, ntyp = 3
/
ATOMIC_SPECIES
Al 26.98 Al.upf
Ag 107.87 Ag.upf
Cd 112.41 Cd.upf
ATOMIC_POSITIONS angstrom
Al 0.997 5.011 4.070
Ag 1.923 2.709 2.850
Cd 3.675 5.177 5.447
Cd -0.736 2.570 1.501
CELL_PARAMETERS angstrom
-0.978 2.319 -1.544
-2.466 0.042 1.624
3.721 5.242 5.516
! space-group type: No. 99
! energy of formation from the pure elements: 0.411 kcal/mol of atoms
! total magnetization: 0.0 Bohr magnetons per cell
! VASP energy: -2.43 eV/atom

Entry 2:
! AlCdAg2 GGA-PBEsol relaxed; values from VASP
&SYSTEM
  ibrav = 0, nat = 4, ntyp = 3
/
ATOMIC_SPECIES
Al 26.98 Al.upf
Ag 107.87 Ag.upf
Cd 112.41 Cd.upf
ATOMIC_POSITIONS angstrom
Al -1.201 -2.721 2.065
Ag 0.717 -0.676 2.070
Ag -0.412 -2.182 -0.570
Cd -1.506 0.136 0.566
CELL_PARAMETERS angstrom
-3.011 0.273 1.132
-0.824 -4.363 -1.140
1.433 -1.352 4.139
! space-group type: No. 123
! energy of formation from the pure elements: -0.998 kcal/mol of atoms
! total magnetization: 0.0 Bohr magnetons per cell
! VASP energy: -3.02 eV/atom

Entry 3:
! Al2CdAg GGA-PBEsol relaxed; values from VASP
&SYSTEM
  ibrav = 0, nat = 4, ntyp = 3
/
ATOMIC_SPECIES
Al 26.98 Al.upf
Ag 107.87 Ag.upf
Cd 112.41 Cd.upf
ATOMIC_POSITIONS angstrom
Al -2.293 1.257 -1.304
Al -2.715 -0.617 0.887
Ag 0.000 0.000 0.000
Cd -1.757 -1.589 -1.697
CELL_PARAMETERS angstrom
-1.335 0.285 -3.888
-2.178 -3.463 0.494
-1.495 3.817 2.977
! space-group type: No. 139
! energy of formation from the pure elements: 1.598 kcal/mol of atoms
! total magnetization: 0.0 Bohr magnetons per cell
! VASP energy: -3.10 eV/atom

Entry 4:
! AlCdAg2 GGA-PBEsol relaxed; values from VASP
&SYSTEM
  ibrav = 0, nat = 4, ntyp = 3
/
ATOMIC_SPECIES
Al 26.98 Al.upf
Ag 107.87 Ag.upf
Cd 112.41 Cd.upf
ATOMIC_POSITIONS angstrom
Al 0.000 0.000 2.751
Ag 0.000 0.000 0.021
Ag 1.732 1.732 1.511
Cd 1.732 1.732 4.374
CELL_PARAMETERS angstrom
3.464 0.000 0.000
0.000 3.464 0.000
0.000 0.000 5.772
! space-group type: No. 99
! energy of formation from the pure elements: -0.735 kcal/mol of atoms
! total magnetization: 0.0 Bohr magnetons per cell
! VASP energy: -3.01 eV/atom

Entry 5:
! Al2CdAg GGA-PBEsol relaxed; values from VASP
&SYSTEM
  ibrav = 0, nat = 4, ntyp = 3
/
ATOMIC_SPECIES
Al 26.98 Al.upf
Ag 107.87 Ag.upf
Cd 112.41 Cd.upf
ATOMIC_POSITIONS angstrom
Al 0.000 0.000 6.040
Al 1.429 2.018 1.414
Ag 1.429 2.018 4.688
Cd 0.000 0.000 3.023
CELL_PARAMETERS angstrom
2.857 0.000 0.000
0.000 4.036 0.000
0.000 0.000 6.066
! space-group type: No. 25
! energy of formation from the pure elements: 0.517 kcal/mol of atoms
! total magnetization: 0.0 Bohr magnetons per cell
! VASP energy: -3.15 eV/atom

Entry 6:
! AlCdAg2 GGA-PBEsol relaxed; values from VASP
&SYSTEM
  ibrav = 0, nat = 4, ntyp = 3
/
ATOMIC_SPECIES
Al 26.98 Al.upf
Ag 107.87 Ag.upf
Cd 112.41 Cd.upf
ATOMIC_POSITIONS angstrom
Al 2.950 1.703 4.532
Ag 1.475 0.851 2.400
Ag 4.424 2.554 6.663
Cd 0.000 0.000 0.000
CELL_PARAMETERS angstrom
2.950 0.000 0.000
1.475 2.554 0.000
1.475 0.851 9.064
! space-group type: No. 166
! energy of formation from the pure elements: -1.556 kcal/mol of atoms
! total magnetization: 0.0 Bohr magnetons per cell
! VASP energy: -3.05 eV/atom

Entry 7:
! AlCdAg2 GGA-PBEsol relaxed; values from VASP
&SYSTEM
  ibrav = 0, nat = 4, ntyp = 3
/
ATOMIC_SPECIES
Al 26.98 Al.upf
Ag 107.87 Ag.upf
Cd 112.41 Cd.upf
ATOMIC_POSITIONS angstrom
Al 2.010 2.010 0.000
Ag 0.000 0.000 0.000
Ag 2.010 0.000 2.099
Cd 0.000 2.010 2.099
CELL_PARAMETERS angstrom
4.019 0.000 0.000
0.000 4.019 0.000
-2.010 -2.010 4.199
! space-group type: No. 119
! energy of formation from the pure elements: -0.856 kcal/mol of atoms
! total magnetization: 0.0 Bohr magnetons per cell
! VASP energy: -3.01 eV/atom

Entry 8:
! Al2CdAg GGA-PBEsol relaxed; values from VASP
&SYSTEM
  ibrav = 0, nat = 4, ntyp = 3
/
ATOMIC_SPECIES
Al 26.98 Al.upf
Ag 107.87 Ag.upf
Cd 112.41 Cd.upf
ATOMIC_POSITIONS angstrom
Al 1.487 0.858 2.148
Al 4.460 2.575 6.985
Ag 0.000 0.000 0.000
Cd 2.974 1.717 4.567
CELL_PARAMETERS angstrom
2.974 0.000 0.000
1.487 2.575 0.000
1.487 0.858 9.133
! space-group type: No. 166
! energy of formation from the pure elements: 0.531 kcal/mol of atoms
! total magnetization: 0.0 Bohr magnetons per cell
! VASP energy: -3.15 eV/atom

Which formula does entry 4 have? AlCdAg2

VASP energy of number 6 (AlCdAg2)? -3.05 eV/atom

The highest VASP energy belongs to which entry? AlCd2Ag